a) Computed, not measured: BaLiCa3 after structural relaxation at the GGA-PBE level of DFT.

## Properties
Space-group type = Pm-3m (221)
Fermi-level density of states = 0.602 states/eV per atom
M_tot = 3.0 μB/f.u.

a = 6.4919 Å, b = 6.4919 Å, c = 6.4919 Å
α = 90.00°, β = 90.00°, γ = 90.00°
With the nearest neighbours (Å) after each atom.
Fractional positions:
Ba (0.0000, 0.0000, 0.0000)  6 Ca 3.25
Ca (0.5000, 0.0000, 0.0000)  2 Ba 3.25
Ca (0.0000, 0.0000, 0.5000)  2 Ba 3.25
Ca (0.0000, 0.5000, 0.0000)  2 Ba 3.25
Li (0.5000, 0.5000, 0.5000)  12 Ca 4.59

=====

b) Computed, not measured: BaLiCa3 after structural relaxation at the GGA-PBE level of DFT.

## Properties
Space-group type = Pm-3m (221)
Fermi-level density of states = 1.617 states/eV per atom
M_tot = 0.0 μB/f.u.

a = 6.0462 Å, b = 6.0462 Å, c = 6.0462 Å
α = 90.00°, β = 90.00°, γ = 90.00°
With the nearest neighbours (Å) after each atom.
Fractional positions:
Ca (0.0000, 0.5000, 0.0000)  2 Li 3.02
Ca (0.5000, 0.0000, 0.0000)  2 Li 3.02
Ca (0.0000, 0.0000, 0.5000)  2 Li 3.02
Ba (0.5000, 0.5000, 0.5000)  12 Ca 4.28
Li (0.0000, 0.0000, 0.0000)  6 Ca 3.02

=====

c) Computed, not measured: BaLiCa3 after structural relaxation at the GGA-PBE level of DFT.

## Properties
Space-group type = Pm-3m (221)
Fermi-level density of states = 1.264 states/eV per atom
M_tot = 0.0 μB/f.u.

a = 8.6097 Å, b = 8.6097 Å, c = 8.6097 Å
α = 90.00°, β = 90.00°, γ = 90.00°
With the nearest neighbours (Å) after each atom.
Fractional positions:
Ca (0.2240, 0.2240, 0.7760)  3 Li 3.62, 3 Ca 3.86, 3 Ba 3.87
Ca (0.7760, 0.7760, 0.2240)  3 Li 3.62, 3 Ca 3.86, 3 Ba 3.87
Ca (0.7760, 0.7760, 0.7760)  3 Li 3.62, 3 Ca 3.86, 3 Ba 3.87
Ba (0.5000, 0.5000, 0.0000)  10 Ca 3.87-4.30, 4 Li 4.30
Ba (0.0000, 0.5000, 0.5000)  10 Ca 3.87-4.30, 4 Li 4.30
Ca (0.7760, 0.2240, 0.2240)  3 Li 3.62, 3 Ca 3.86, 3 Ba 3.87
Li (0.0000, 0.5000, 0.0000)  8 Ca 3.62
Li (0.0000, 0.0000, 0.5000)  8 Ca 3.62
Ca (0.5000, 0.5000, 0.5000)  8 Ca 4.12, 6 Ba 4.30
Ba (0.5000, 0.0000, 0.5000)  10 Ca 3.87-4.30, 4 Li 4.30
Ca (0.2240, 0.7760, 0.2240)  3 Li 3.62, 3 Ca 3.86, 3 Ba 3.87
Ca (0.7760, 0.2240, 0.7760)  3 Li 3.62, 3 Ca 3.86, 3 Ba 3.87
Li (0.5000, 0.0000, 0.0000)  8 Ca 3.62
Ca (0.2240, 0.7760, 0.7760)  3 Li 3.62, 3 Ca 3.86, 3 Ba 3.87
Ca (0.2240, 0.2240, 0.2240)  3 Li 3.62, 3 Ca 3.86, 3 Ba 3.87

=====

c) (0.026 eV/atom below the next structure)

=====

a) Computed, not measured: BaNaLiCa2 after structural relaxation at the GGA-PBE level of DFT.

## Properties
Space-group type = P4/mmm (123)
Fermi-level density of states = 0.962 states/eV per atom
M_tot = 0.0 μB/f.u.

a = 6.0840 Å, b = 6.0840 Å, c = 5.8437 Å
α = 90.00°, β = 90.00°, γ = 90.00°
With the nearest neighbours (Å) after each atom.
Fractional positions:
Ca (0.5000, 0.0000, 0.0000)  2 Li 3.04
Li (0.0000, 0.0000, 0.0000)  2 Na 2.92, 4 Ca 3.04
Na (0.0000, 0.0000, 0.5000)  2 Li 2.92
Ba (0.5000, 0.5000, 0.5000)  8 Ca 4.22, 4 Na 4.30
Ca (0.0000, 0.5000, 0.0000)  2 Li 3.04

=====

b) Computed, not measured: BaNaLiCa2 after structural relaxation at the GGA-PBE level of DFT.

## Properties
Space-group type = P4/mmm (123)
Fermi-level density of states = 0.865 states/eV per atom
M_tot = 0.0 μB/f.u.

a = 6.0824 Å, b = 6.0824 Å, c = 6.4099 Å
α = 90.00°, β = 90.00°, γ = 90.00°
With the nearest neighbours (Å) after each atom.
Fractional positions:
Ca (0.5000, 0.0000, 0.0000)  2 Li 3.04
Na (0.5000, 0.5000, 0.5000)  4 Ba 4.30, 8 Ca 4.42
Ba (0.0000, 0.0000, 0.5000)  2 Li 3.20
Li (0.0000, 0.0000, 0.0000)  4 Ca 3.04, 2 Ba 3.20
Ca (0.0000, 0.5000, 0.0000)  2 Li 3.04

=====

a) (0.053 eV/atom below the next structure)

=====

a) Computed, not measured: Ba2LiCaRh after structural relaxation at the GGA-PBE level of DFT.

## Properties
Space-group type = P4/mmm (123)
Fermi-level density of states = 0.930 states/eV per atom
M_tot = 0.0 μB/f.u.

a = 6.0344 Å, b = 6.0344 Å, c = 5.3290 Å
α = 90.00°, β = 90.00°, γ = 90.00°
With the nearest neighbours (Å) after each atom.
Fractional positions:
Li (0.0000, 0.0000, 0.5000)  2 Rh 2.66
Ba (0.0000, 0.5000, 0.0000)  2 Rh 3.02
Ca (0.5000, 0.5000, 0.5000)  8 Ba 4.03, 4 Li 4.27
Rh (0.0000, 0.0000, 0.0000)  2 Li 2.66
Ba (0.5000, 0.0000, 0.0000)  2 Rh 3.02

=====

b) Computed, not measured: Ba2LiCaRh after structural relaxation at the GGA-PBE level of DFT.

## Properties
Space-group type = P4/mmm (123)
Fermi-level density of states = 0.691 states/eV per atom
M_tot = 0.0 μB/f.u.

a = 6.1084 Å, b = 6.1084 Å, c = 5.5996 Å
α = 90.00°, β = 90.00°, γ = 90.00°
With the nearest neighbours (Å) after each atom.
Fractional positions:
Ca (0.0000, 0.0000, 0.5000)  2 Rh 2.80
Ba (0.0000, 0.5000, 0.0000)  2 Rh 3.05
Ba (0.5000, 0.0000, 0.0000)  2 Rh 3.05
Rh (0.0000, 0.0000, 0.0000)  2 Ca 2.80, 4 Ba 3.05
Li (0.5000, 0.5000, 0.5000)  8 Ba 4.14, 4 Ca 4.32

=====

b) (0.161 eV/atom below the next structure)

=====

a) Computed, not measured: Ba2LiCaS after structural relaxation at the GGA-PBE level of DFT.

## Properties
Space-group type = P4/mmm (123)
Fermi-level density of states = 1.215 states/eV per atom
M_tot = 0.0 μB/f.u.

a = 6.3243 Å, b = 6.3243 Å, c = 5.4239 Å
α = 90.00°, β = 90.00°, γ = 90.00°
With the nearest neighbours (Å) after each atom.
Fractional positions:
Ca (0.0000, 0.0000, 0.5000)  2 S 2.71
Ba (0.0000, 0.5000, 0.0000)  2 S 3.16
S (0.0000, 0.0000, 0.0000)  2 Ca 2.71
Li (0.5000, 0.5000, 0.5000)  8 Ba 4.17, 4 Ca 4.47
Ba (0.5000, 0.0000, 0.0000)  2 S 3.16

=====

b) Computed, not measured: Ba2LiCaS after structural relaxation at the GGA-PBE level of DFT.

## Properties
Space-group type = P4/mmm (123)
Fermi-level density of states = 1.211 states/eV per atom
M_tot = 0.0 μB/f.u.

a = 6.4269 Å, b = 6.4269 Å, c = 4.8960 Å
α = 90.00°, β = 90.00°, γ = 90.00°
With the nearest neighbours (Å) after each atom.
Fractional positions:
Ba (0.5000, 0.0000, 0.0000)  2 S 3.21
Ca (0.5000, 0.5000, 0.5000)  8 Ba 4.04
Li (0.0000, 0.0000, 0.5000)  2 S 2.45
S (0.0000, 0.0000, 0.0000)  2 Li 2.45
Ba (0.0000, 0.5000, 0.0000)  2 S 3.21

=====

a) (0.061 eV/atom below the next structure)

=====

a) Computed, not measured: Ba2LiCaSe after structural relaxation at the GGA-PBE level of DFT.

## Properties
Space-group type = P4/mmm (123)
Fermi-level density of states = 1.351 states/eV per atom
M_tot = 0.0 μB/f.u.

a = 6.4771 Å, b = 6.4771 Å, c = 5.6189 Å
α = 90.00°, β = 90.00°, γ = 90.00°
With the nearest neighbours (Å) after each atom.
Fractional positions:
Ba (0.5000, 0.0000, 0.0000)  2 Se 3.24
Ba (0.0000, 0.5000, 0.0000)  2 Se 3.24
Se (0.0000, 0.0000, 0.0000)  2 Ca 2.81
Li (0.5000, 0.5000, 0.5000)  8 Ba 4.29, 4 Ca 4.58
Ca (0.0000, 0.0000, 0.5000)  2 Se 2.81

=====

b) Computed, not measured: Ba2LiCaSe after structural relaxation at the GGA-PBE level of DFT.

## Properties
Space-group type = P4/mmm (123)
Fermi-level density of states = 1.271 states/eV per atom
M_tot = 0.0 μB/f.u.

a = 6.5852 Å, b = 6.5852 Å, c = 5.0129 Å
α = 90.00°, β = 90.00°, γ = 90.00°
With the nearest neighbours (Å) after each atom.
Fractional positions:
Li (0.0000, 0.0000, 0.5000)  2 Se 2.51
Se (0.0000, 0.0000, 0.0000)  2 Li 2.51
Ca (0.5000, 0.5000, 0.5000)  8 Ba 4.14
Ba (0.0000, 0.5000, 0.0000)  2 Se 3.29
Ba (0.5000, 0.0000, 0.0000)  2 Se 3.29

=====

a) (0.009 eV/atom below the next structure)

=====

a) Computed, not measured: BaSrLiCa2 after structural relaxation at the GGA-PBE level of DFT.

## Properties
Space-group type = P4/mmm (123)
Fermi-level density of states = 1.305 states/eV per atom
M_tot = 0.0 μB/f.u.

a = 6.1754 Å, b = 6.1754 Å, c = 6.2925 Å
α = 90.00°, β = 90.00°, γ = 90.00°
With the nearest neighbours (Å) after each atom.
Fractional positions:
Ca (0.5000, 0.0000, 0.0000)  2 Li 3.09
Ca (0.0000, 0.5000, 0.0000)  2 Li 3.09
Sr (0.5000, 0.5000, 0.5000)  4 Ba 4.37, 8 Ca 4.41
Li (0.0000, 0.0000, 0.0000)  4 Ca 3.09, 2 Ba 3.15
Ba (0.0000, 0.0000, 0.5000)  2 Li 3.15

=====

b) Computed, not measured: BaSrLiCa2 after structural relaxation at the GGA-PBE level of DFT.

## Properties
Space-group type = P4/mmm (123)
Fermi-level density of states = 1.411 states/eV per atom
M_tot = 0.0 μB/f.u.

a = 6.1544 Å, b = 6.1544 Å, c = 6.2201 Å
α = 90.00°, β = 90.00°, γ = 90.00°
With the nearest neighbours (Å) after each atom.
Fractional positions:
Sr (0.0000, 0.0000, 0.5000)  2 Li 3.11
Li (0.0000, 0.0000, 0.0000)  4 Ca 3.08, 2 Sr 3.11
Ca (0.5000, 0.0000, 0.0000)  2 Li 3.08
Ba (0.5000, 0.5000, 0.5000)  4 Sr 4.35, 8 Ca 4.38
Ca (0.0000, 0.5000, 0.0000)  2 Li 3.08

=====

b) (0.033 eV/atom below the next structure)

=====

a) Computed, not measured: BaSrLiCa after structural relaxation at the GGA-PBE level of DFT.

## Properties
Space-group type = P4mm (99)
Fermi-level density of states = 1.070 states/eV per atom
M_tot = 0.0 μB/f.u.

a = 4.3286 Å, b = 4.3286 Å, c = 9.6847 Å
α = 90.00°, β = 90.00°, γ = 90.00°
With the nearest neighbours (Å) after each atom.
Fractional positions:
Sr (0.5000, 0.5000, 0.3544)  4 Li 3.63, 4 Ca 4.03
Ca (0.0000, 0.0000, 0.0839)  4 Sr 4.03, 4 Ba 4.18, 4 Ca 4.33
Ba (0.5000, 0.5000, 0.7896)  4 Li 3.80, 4 Ca 4.18, 1 Sr 4.21
Li (0.0000, 0.0000, 0.5568)  4 Sr 3.63, 4 Ba 3.80

=====

b) Computed, not measured: BaSrLiCa after structural relaxation at the GGA-PBE level of DFT.

## Properties
Space-group type = F-43m (216)
Fermi-level density of states = 1.093 states/eV per atom
M_tot = 0.0 μB/f.u.

a = 6.4124 Å, b = 6.4124 Å, c = 6.4124 Å
α = 60.00°, β = 60.00°, γ = 60.00°
With the nearest neighbours (Å) after each atom.
Fractional positions:
Ba (0.2500, 0.2500, 0.2500)  4 Li 3.93, 4 Ca 3.93
Sr (0.7500, 0.7500, 0.7500)  4 Ca 3.93, 4 Li 3.93
Ca (0.5000, 0.5000, 0.5000)  4 Sr 3.93, 4 Ba 3.93
Li (0.0000, 0.0000, 0.0000)  4 Ba 3.93, 4 Sr 3.93

=====

a) (0.050 eV/atom below the next structure)

=====

a) Computed, not measured: BaLiCaZn after structural relaxation at the GGA-PBE level of DFT.

## Properties
Space-group type = Cm (8)
Fermi-level density of states = 1.222 states/eV per atom
M_tot = 0.0 μB/f.u.

a = 4.6568 Å, b = 4.6568 Å, c = 8.1001 Å
α = 90.10°, β = 106.66°, γ = 119.89°
With the nearest neighbours (Å) after each atom.
Fractional positions:
Ca (0.0032, 0.8659, 0.8690)  3 Li 3.23, 3 Zn 3.24-3.25
Zn (0.8278, 0.2782, 0.1061)  3 Li 2.69
Ba (0.3683, 0.0493, 0.4176)  3 Zn 3.59, 3 Li 3.60-3.61
Li (0.4928, 0.6110, 0.1038)  3 Zn 2.69

=====

b) Computed, not measured: BaLiCaZn after structural relaxation at the GGA-PBE level of DFT.

## Properties
Space-group type = F-43m (216)
Fermi-level density of states = 0.935 states/eV per atom
M_tot = 0.0 μB/f.u.

a = 5.6665 Å, b = 5.6665 Å, c = 5.6665 Å
α = 60.00°, β = 60.00°, γ = 60.00°
With the nearest neighbours (Å) after each atom.
Fractional positions:
Ca (0.2500, 0.2500, 0.2500)  4 Li 3.47, 4 Zn 3.47
Zn (0.0000, 0.0000, 0.0000)  4 Ca 3.47, 4 Ba 3.47
Li (0.5000, 0.5000, 0.5000)  4 Ba 3.47, 4 Ca 3.47
Ba (0.7500, 0.7500, 0.7500)  4 Li 3.47, 4 Zn 3.47

=====

b) (0.023 eV/atom below the next structure)